DFT (GGA+U) results for a geometry-optimized MgCrNF2 structure. Values from VASP.

Geometry as Quantum ESPRESSO input:
```
&SYSTEM
  ibrav = 0, nat = 5, ntyp = 4
/
ATOMIC_SPECIES
F 19.00 F.upf
Cr 52.00 Cr.upf
N 14.01 N.upf
Mg 24.30 Mg.upf
ATOMIC_POSITIONS crystal
F 0.5000 0.0000 0.0000
F 0.0000 0.5000 0.0000
Cr 0.5000 0.5000 0.5000
N 0.0000 0.0000 0.5000
Mg 0.0000 0.0000 0.0000
CELL_PARAMETERS angstrom
3.6150 0.0000 0.0000
0.0000 3.6150 0.0000
0.0000 0.0000 4.9342
```

- M_tot (μB per cell) = 3.00
- volume (Å³/atom) = 12.9
- energy relative to the lowest polymorph listed for this composition (meV per atom) = 0
- electronic total energy (eV/atom) = -5.530